Material: DyEr2Mg3CuPt2
Method: DFT, PBE-GGA
State: optimized geometry

Structure (CIF):
```
data_DyEr2Mg3CuPt2
_cell_length_a 3.934
_cell_length_b 12.930
_cell_length_c 7.444
_cell_angle_alpha 90.00
_cell_angle_beta 90.00
_cell_angle_gamma 90.00
_symmetry_space_group_name_H-M 'A m m 2'
_symmetry_Int_Tables_number 38
loop_
_symmetry_equiv_pos_as_xyz
'x,y,z'
'-x,-y,z'
'-x,y,z'
'x,-y,z'
'x,y+1/2,z+1/2'
'-x,-y+1/2,z+1/2'
'-x,y+1/2,z+1/2'
'x,-y+1/2,z+1/2'
loop_
_atom_site_label
_atom_site_type_symbol
_atom_site_fract_x
_atom_site_fract_y
_atom_site_fract_z
Dy1 Dy 0.000 0.000 0.000
Er1 Er 0.000 0.208 0.624
Mg1 Mg 0.500 0.000 0.661
Mg2 Mg 0.500 0.123 0.294
Cu1 Cu 0.000 0.000 0.417
Pt1 Pt 0.500 0.168 0.916
```



Material: Dy2ErTl3CuNi2
Method: DFT, PBE-GGA
State: optimized geometry

Structure (CIF):
```
data_Dy2ErTl3CuNi2
_cell_length_a 3.786
_cell_length_b 13.103
_cell_length_c 7.571
_cell_angle_alpha 90.00
_cell_angle_beta 90.00
_cell_angle_gamma 90.00
_symmetry_space_group_name_H-M 'A m m 2'
_symmetry_Int_Tables_number 38
loop_
_symmetry_equiv_pos_as_xyz
'x,y,z'
'-x,-y,z'
'-x,y,z'
'x,-y,z'
'x,y+1/2,z+1/2'
'-x,-y+1/2,z+1/2'
'-x,y+1/2,z+1/2'
'x,-y+1/2,z+1/2'
loop_
_atom_site_label
_atom_site_type_symbol
_atom_site_fract_x
_atom_site_fract_y
_atom_site_fract_z
Dy1 Dy 0.000 0.205 0.000
Er1 Er 0.000 0.000 0.385
Tl1 Tl 0.500 0.000 0.060
Tl2 Tl 0.500 0.132 0.662
Cu1 Cu 0.000 0.000 0.794
Ni1 Ni 0.500 0.166 0.295
```



Material: DyEr2Cu4Pb4
Method: DFT, PBE-GGA
State: optimized geometry

Structure (CIF):
```
data_DyEr2Cu4Pb4
_cell_length_a 4.542
_cell_length_b 7.083
_cell_length_c 14.965
_cell_angle_alpha 90.00
_cell_angle_beta 90.00
_cell_angle_gamma 90.00
_symmetry_space_group_name_H-M 'I m m m'
_symmetry_Int_Tables_number 71
_symmetry_space_group_name_Hall '-I 2 2'
loop_
_atom_site_label
_atom_site_type_symbol
_atom_site_fract_x
_atom_site_fract_y
_atom_site_fract_z
Dy1 Dy 0.000 0.000 0.000
Er1 Er 0.000 0.500 0.131
Cu1 Cu 0.000 0.312 0.329
Pb1 Pb 0.000 0.000 0.217
Pb2 Pb 0.000 0.208 0.500
```



Material: DyErCu2Pb
Method: DFT, PBE-GGA
State: optimized geometry

Structure (CIF):
```
data_DyErCu2Pb
_cell_length_a 3.646
_cell_length_b 4.220
_cell_length_c 13.972
_cell_angle_alpha 90.00
_cell_angle_beta 90.00
_cell_angle_gamma 90.00
_symmetry_space_group_name_H-M 'A m m 2'
_symmetry_Int_Tables_number 38
loop_
_symmetry_equiv_pos_as_xyz
'x,y,z'
'-x,-y,z'
'-x,y,z'
'x,-y,z'
'x,y+1/2,z+1/2'
'-x,-y+1/2,z+1/2'
'-x,y+1/2,z+1/2'
'x,-y+1/2,z+1/2'
loop_
_atom_site_label
_atom_site_type_symbol
_atom_site_fract_x
_atom_site_fract_y
_atom_site_fract_z
Dy1 Dy 0.000 0.000 0.000
Er1 Er 0.000 0.000 0.271
Cu1 Cu 0.500 0.000 0.431
Cu2 Cu 0.500 0.000 0.838
Pb1 Pb 0.500 0.000 0.635
```



Material: Dy2ErSc3CuTe2
Method: DFT, PBE-GGA
State: optimized geometry

Structure (CIF):
```
data_Dy2ErSc3CuTe2
_cell_length_a 3.952
_cell_length_b 13.816
_cell_length_c 7.976
_cell_angle_alpha 90.00
_cell_angle_beta 90.00
_cell_angle_gamma 90.00
_symmetry_space_group_name_H-M 'A m m 2'
_symmetry_Int_Tables_number 38
loop_
_symmetry_equiv_pos_as_xyz
'x,y,z'
'-x,-y,z'
'-x,y,z'
'x,-y,z'
'x,y+1/2,z+1/2'
'-x,-y+1/2,z+1/2'
'-x,y+1/2,z+1/2'
'x,-y+1/2,z+1/2'
loop_
_atom_site_label
_atom_site_type_symbol
_atom_site_fract_x
_atom_site_fract_y
_atom_site_fract_z
Dy1 Dy 0.000 0.198 0.000
Er1 Er 0.000 0.000 0.407
Sc1 Sc 0.500 0.000 0.039
Sc2 Sc 0.500 0.118 0.684
Cu1 Cu 0.000 0.000 0.801
Te1 Te 0.500 0.166 0.302
```



Material: DyErCuSe3
Method: DFT, PBE-GGA
State: optimized geometry

Structure (CIF):
```
data_DyErCuSe3
_cell_length_a 3.894
_cell_length_b 13.178
_cell_length_c 10.407
_cell_angle_alpha 90.00
_cell_angle_beta 90.00
_cell_angle_gamma 90.00
_symmetry_space_group_name_H-M 'C m c m'
_symmetry_Int_Tables_number 63
_symmetry_space_group_name_Hall '-C 2c 2'
loop_
_atom_site_label
_atom_site_type_symbol
_atom_site_fract_x
_atom_site_fract_y
_atom_site_fract_z
Dy1 Dy 0.000 0.228 0.250
Er1 Er 0.000 0.000 0.000
Cu1 Cu 0.000 0.477 0.750
Se1 Se 0.000 0.098 0.750
Se2 Se 0.000 0.354 0.572
```



Material: Dy2ErCu4Si4
Method: DFT, PBE-GGA
State: optimized geometry

Structure (CIF):
```
data_Dy2ErCu4Si4
_cell_length_a 4.124
_cell_length_b 6.506
_cell_length_c 13.641
_cell_angle_alpha 90.00
_cell_angle_beta 90.00
_cell_angle_gamma 90.00
_symmetry_space_group_name_H-M 'I m m m'
_symmetry_Int_Tables_number 71
_symmetry_space_group_name_Hall '-I 2 2'
loop_
_atom_site_label
_atom_site_type_symbol
_atom_site_fract_x
_atom_site_fract_y
_atom_site_fract_z
Dy1 Dy 0.000 0.000 0.130
Er1 Er 0.000 0.500 0.000
Cu1 Cu 0.000 0.191 0.331
Si1 Si 0.000 0.314 0.500
Si2 Si 0.000 0.500 0.216
```



Material: DyEr2Cu4Si2Sn2
Method: DFT, PBE-GGA
State: optimized geometry

Structure (CIF):
```
data_DyEr2Cu4Si2Sn2
_cell_length_a 4.208
_cell_length_b 6.865
_cell_length_c 14.150
_cell_angle_alpha 90.00
_cell_angle_beta 90.00
_cell_angle_gamma 90.00
_symmetry_space_group_name_H-M 'I m m m'
_symmetry_Int_Tables_number 71
_symmetry_space_group_name_Hall '-I 2 2'
loop_
_atom_site_label
_atom_site_type_symbol
_atom_site_fract_x
_atom_site_fract_y
_atom_site_fract_z
Dy1 Dy 0.000 0.000 0.000
Er1 Er 0.000 0.500 0.135
Cu1 Cu 0.000 0.311 0.319
Si1 Si 0.000 0.000 0.217
Sn1 Sn 0.000 0.202 0.500
```



Material: DyEr2Cu4Si2Sn2
Method: DFT, PBE-GGA
State: optimized geometry

Structure (CIF):
```
data_DyEr2Cu4Si2Sn2
_cell_length_a 4.295
_cell_length_b 6.616
_cell_length_c 14.330
_cell_angle_alpha 90.00
_cell_angle_beta 90.00
_cell_angle_gamma 90.00
_symmetry_space_group_name_H-M 'I m m m'
_symmetry_Int_Tables_number 71
_symmetry_space_group_name_Hall '-I 2 2'
loop_
_atom_site_label
_atom_site_type_symbol
_atom_site_fract_x
_atom_site_fract_y
_atom_site_fract_z
Dy1 Dy 0.000 0.000 0.000
Er1 Er 0.000 0.500 0.123
Cu1 Cu 0.000 0.309 0.346
Si1 Si 0.000 0.182 0.500
Sn1 Sn 0.000 0.000 0.219
```



Material: Dy2ErCu4Sn4
Method: DFT, PBE-GGA
State: optimized geometry

Structure (CIF):
```
data_Dy2ErCu4Sn4
_cell_length_a 4.462
_cell_length_b 6.939
_cell_length_c 14.704
_cell_angle_alpha 90.00
_cell_angle_beta 90.00
_cell_angle_gamma 90.00
_symmetry_space_group_name_H-M 'I m m m'
_symmetry_Int_Tables_number 71
_symmetry_space_group_name_Hall '-I 2 2'
loop_
_atom_site_label
_atom_site_type_symbol
_atom_site_fract_x
_atom_site_fract_y
_atom_site_fract_z
Dy1 Dy 0.000 0.000 0.131
Er1 Er 0.000 0.500 0.000
Cu1 Cu 0.000 0.188 0.329
Sn1 Sn 0.000 0.297 0.500
Sn2 Sn 0.000 0.500 0.216
```



Material: Dy3Er4Cu2Te2
Method: DFT, PBE-GGA
State: optimized geometry

Structure (CIF):
```
data_Dy3Er4Cu2Te2
_cell_length_a 3.943
_cell_length_b 15.449
_cell_length_c 9.531
_cell_angle_alpha 90.00
_cell_angle_beta 90.00
_cell_angle_gamma 90.00
_symmetry_space_group_name_H-M 'I m m 2'
_symmetry_Int_Tables_number 44
loop_
_symmetry_equiv_pos_as_xyz
'x,y,z'
'-x,-y,z'
'-x,y,z'
'x,-y,z'
'x+1/2,y+1/2,z+1/2'
'-x+1/2,-y+1/2,z+1/2'
'-x+1/2,y+1/2,z+1/2'
'x+1/2,-y+1/2,z+1/2'
loop_
_atom_site_label
_atom_site_type_symbol
_atom_site_fract_x
_atom_site_fract_y
_atom_site_fract_z
Dy1 Dy 0.000 0.000 0.000
Dy2 Dy 0.000 0.356 0.739
Er1 Er 0.000 0.130 0.586
Er2 Er 0.000 0.315 0.380
Cu1 Cu 0.000 0.238 0.074
Te1 Te 0.000 0.000 0.340
Te2 Te 0.000 0.500 0.235
```



Material: DyEr6Cu2Te2
Method: DFT, PBE-GGA
State: optimized geometry

Structure (CIF):
```
data_DyEr6Cu2Te2
_cell_length_a 3.945
_cell_length_b 15.413
_cell_length_c 9.532
_cell_angle_alpha 90.00
_cell_angle_beta 90.00
_cell_angle_gamma 90.00
_symmetry_space_group_name_H-M 'I m m 2'
_symmetry_Int_Tables_number 44
loop_
_symmetry_equiv_pos_as_xyz
'x,y,z'
'-x,-y,z'
'-x,y,z'
'x,-y,z'
'x+1/2,y+1/2,z+1/2'
'-x+1/2,-y+1/2,z+1/2'
'-x+1/2,y+1/2,z+1/2'
'x+1/2,-y+1/2,z+1/2'
loop_
_atom_site_label
_atom_site_type_symbol
_atom_site_fract_x
_atom_site_fract_y
_atom_site_fract_z
Dy1 Dy 0.000 0.000 0.000
Er1 Er 0.000 0.130 0.585
Er2 Er 0.000 0.315 0.380
Er3 Er 0.000 0.356 0.737
Cu1 Cu 0.000 0.237 0.075
Te1 Te 0.000 0.000 0.339
Te2 Te 0.000 0.500 0.235
```



Result set for E: -4.528 -4.300 -4.189 -4.437 -5.410 -5.253 -5.211 -4.831 -4.901 -4.566 -4.738 -4.730 eV/atom, one per record in the order listed.